An optimized crystal structure of InHg2Se2, computed with PBE.

a = 8.0035 Å, b = 8.0035 Å, c = 8.0035 Å
α = 149.26°, β = 149.26°, γ = 44.02°
Positions (direct):
In (0.0000, 0.0000, 0.0000)
Hg (0.2500, 0.7500, 0.5000)
Hg (0.7500, 0.2500, 0.5000)
Se (0.4140, 0.4140, 0.0000)
Se (0.5860, 0.5860, 0.0000)

Results
- total moment (μB per atom) = 0.00
- space-group type = No. 139
- formation energy (no corrections) (meV per atom) = -7
- D(E_F) (states/eV/f.u.) = 2.060
- total energy (eV per atom) = -2.070